# PBE Ca3CdI2Cl6, optimized geometry
# Magnetization   0.000 μB/atom
# Crystal system   monoclinic
data_Ca3CdI2Cl6
_chemical_formula_sum 'Ca6 Cd2 I4 Cl12'
_cell_length_a 14.1907
_cell_length_b 8.1520
_cell_length_c 6.6666
_cell_angle_alpha 90.00
_cell_angle_beta 96.87
_cell_angle_gamma 90.00
_space_group_name_H-M_alt 'C 1 2/m 1'
_space_group_IT_number 12
_space_group_name_Hall '-C 2y'
loop_
_atom_site_label
_atom_site_type_symbol
_atom_site_fract_x
_atom_site_fract_y
_atom_site_fract_z
Ca1 Ca 0.0000 0.0000 0.0000
Ca2 Ca 0.2500 0.2500 0.5000
Cd1 Cd 0.0000 0.5000 0.5000
I1 I 0.1883 0.0000 0.8076
Cl1 Cl 0.0717 0.2489 0.2744
Cl2 Cl 0.1682 0.5000 0.6957

---

# PBE Ca2CdIrCl, optimized geometry
# Magnetization   0.000 μB/atom
# Crystal system   tetragonal
data_Ca2CdIrCl
_chemical_formula_sum 'Ca2 Cd1 Ir1 Cl1'
_cell_length_a 5.2317
_cell_length_b 5.2317
_cell_length_c 4.5864
_cell_angle_alpha 90.00
_cell_angle_beta 90.00
_cell_angle_gamma 90.00
_space_group_name_H-M_alt 'P 4/m m m'
_space_group_IT_number 123
_space_group_name_Hall '-P 4 2'
loop_
_atom_site_label
_atom_site_type_symbol
_atom_site_fract_x
_atom_site_fract_y
_atom_site_fract_z
Ca1 Ca 0.0000 0.5000 0.0000
Cd1 Cd 0.0000 0.0000 0.5000
Ir1 Ir 0.5000 0.5000 0.5000
Cl1 Cl 0.5000 0.5000 0.0000

---

# PBE KCaCdCl5, optimized geometry
# Magnetization   0.001 μB/atom
# Crystal system   monoclinic
data_KCaCdCl5
_chemical_formula_sum 'K4 Ca4 Cd4 Cl20'
_cell_length_a 9.1232
_cell_length_b 12.2748
_cell_length_c 9.9989
_cell_angle_alpha 90.00
_cell_angle_beta 113.20
_cell_angle_gamma 90.00
_space_group_name_H-M_alt 'C 1 2/c 1'
_space_group_IT_number 15
_space_group_name_Hall '-C 2yc'
loop_
_atom_site_label
_atom_site_type_symbol
_atom_site_fract_x
_atom_site_fract_y
_atom_site_fract_z
K1 K 0.0000 0.1634 0.2500
Ca1 Ca 0.0000 0.5000 0.0000
Cd1 Cd 0.0000 0.1825 0.7500
Cl1 Cl 0.0000 0.4188 0.2500
Cl2 Cl 0.1203 0.2950 0.6117
Cl3 Cl 0.1829 0.0551 0.9385

---

# PBE K2CaCdCl6, optimized geometry
# Magnetization   0.000 μB/atom
# Crystal system   monoclinic
data_K2CaCdCl6
_chemical_formula_sum 'K4 Ca2 Cd2 Cl12'
_cell_length_a 7.2524
_cell_length_b 7.5447
_cell_length_c 12.6621
_cell_angle_alpha 90.00
_cell_angle_beta 124.65
_cell_angle_gamma 90.00
_space_group_name_H-M_alt 'P 1 21/c 1'
_space_group_IT_number 14
_space_group_name_Hall '-P 2ybc'
loop_
_atom_site_label
_atom_site_type_symbol
_atom_site_fract_x
_atom_site_fract_y
_atom_site_fract_z
K1 K 0.2275 0.0664 0.2488
Ca1 Ca 0.5000 0.0000 0.0000
Cd1 Cd 0.0000 0.0000 0.5000
Cl1 Cl 0.1465 0.2061 0.9508
Cl2 Cl 0.2484 0.6992 0.9518
Cl3 Cl 0.3406 0.0244 0.7457

---

# PBE Li2CaCdCl6, optimized geometry
# Magnetization   0.000 μB/atom
# Crystal system   trigonal
data_Li2CaCdCl6
_chemical_formula_sum 'Li6 Ca3 Cd3 Cl18'
_cell_length_a 6.6418
_cell_length_b 6.6418
_cell_length_c 18.1945
_cell_angle_alpha 90.00
_cell_angle_beta 90.00
_cell_angle_gamma 120.00
_space_group_name_H-M_alt 'R 3'
_space_group_IT_number 146
_space_group_name_Hall 'R 3'
loop_
_atom_site_label
_atom_site_type_symbol
_atom_site_fract_x
_atom_site_fract_y
_atom_site_fract_z
Li1 Li 0.0000 0.0000 0.0000
Li2 Li 0.0000 0.0000 0.4974
Ca1 Ca 0.0000 0.0000 0.6971
Cd1 Cd 0.0000 0.0000 0.1972
Cl1 Cl 0.0115 0.3577 0.2630
Cl2 Cl 0.0149 0.6423 0.7646

---

# PBE CaMgCdCl6, optimized geometry
# Magnetization   0.000 μB/atom
# Crystal system   trigonal
data_CaMgCdCl6
_chemical_formula_sum 'Ca2 Mg2 Cd2 Cl12'
_cell_length_a 6.6007
_cell_length_b 6.6007
_cell_length_c 12.1126
_cell_angle_alpha 90.00
_cell_angle_beta 90.00
_cell_angle_gamma 120.00
_space_group_name_H-M_alt 'P -3 1 c'
_space_group_IT_number 163
_space_group_name_Hall '-P 3 2c'
loop_
_atom_site_label
_atom_site_type_symbol
_atom_site_fract_x
_atom_site_fract_y
_atom_site_fract_z
Ca1 Ca 0.0000 0.0000 0.0000
Mg1 Mg 0.3333 0.6667 0.2500
Cd1 Cd 0.3333 0.6667 0.7500
Cl1 Cl 0.0154 0.3561 0.1305

---

# PBE CaMgCd2Cl, optimized geometry
# Magnetization   0.000 μB/atom
# Crystal system   tetragonal
data_CaMgCd2Cl
_chemical_formula_sum 'Ca1 Mg1 Cd2 Cl1'
_cell_length_a 5.7965
_cell_length_b 5.7965
_cell_length_c 5.0637
_cell_angle_alpha 90.00
_cell_angle_beta 90.00
_cell_angle_gamma 90.00
_space_group_name_H-M_alt 'P 4/m m m'
_space_group_IT_number 123
_space_group_name_Hall '-P 4 2'
loop_
_atom_site_label
_atom_site_type_symbol
_atom_site_fract_x
_atom_site_fract_y
_atom_site_fract_z
Ca1 Ca 0.0000 0.0000 0.0000
Mg1 Mg 0.5000 0.5000 0.0000
Cd1 Cd 0.0000 0.5000 0.5000
Cl1 Cl 0.0000 0.0000 0.5000

---

# PBE CaCdNCl2, optimized geometry
# Magnetization   0.237 μB/atom
# Crystal system   tetragonal
data_CaCdNCl2
_chemical_formula_sum 'Ca1 Cd1 N1 Cl2'
_cell_length_a 4.7963
_cell_length_b 4.7963
_cell_length_c 8.7691
_cell_angle_alpha 90.00
_cell_angle_beta 90.00
_cell_angle_gamma 90.00
_space_group_name_H-M_alt 'P 4/m m m'
_space_group_IT_number 123
_space_group_name_Hall '-P 4 2'
loop_
_atom_site_label
_atom_site_type_symbol
_atom_site_fract_x
_atom_site_fract_y
_atom_site_fract_z
Ca1 Ca 0.0000 0.0000 0.0000
Cd1 Cd 0.0000 0.0000 0.5000
N1 N 0.5000 0.5000 0.0000
Cl1 Cl 0.0000 0.5000 0.5000

---

no.,formation energy without anion corrections (meV/atom)
1,-1823
2,-212
3,-1800
4,-1843
5,-1746
6,-1757
7,-150
8,398